Density functional theory data (GGA-PBE) for a geometry-optimized Ce6DyTh8 structure.

The structure in CIF format:
```
data_Ce6DyTh8
_space_group_name_H-M_alt 'P -3'
_space_group_IT_number 147
_cell_length_a 9.3317
_cell_length_b 9.3317
_cell_length_c 6.4420
_cell_angle_alpha 90.00
_cell_angle_beta 90.00
_cell_angle_gamma 120.00
loop_
_space_group_symop_operation_xyz
'x,y,z'
'-x,-y,-z'
'-y,x-y,z'
'y,-x+y,-z'
'-x+y,-x,z'
'x-y,x,-z'
loop_
_atom_site_label
_atom_site_type_symbol
_atom_site_fract_x
_atom_site_fract_y
_atom_site_fract_z
Ce1 Ce 0.0647 0.4198 0.3726
Dy1 Dy 0.0000 0.0000 0.5000
Th1 Th 0.0082 0.2946 0.8609
Th2 Th 0.3333 0.6667 0.9026
```

---

Density functional theory data (GGA-PBE) for a geometry-optimized CeDy2Th5 structure.

The structure in CIF format:
```
data_CeDy2Th5
_space_group_name_H-M_alt 'P 4/m m m'
_space_group_IT_number 123
_space_group_name_Hall '-P 4 2'
_cell_length_a 7.244
_cell_length_b 7.244
_cell_length_c 5.465
_cell_angle_alpha 90.00
_cell_angle_beta 90.00
_cell_angle_gamma 90.00
loop_
_atom_site_label
_atom_site_type_symbol
_atom_site_fract_x
_atom_site_fract_y
_atom_site_fract_z
Ce1 Ce 0.000 0.000 0.000
Dy1 Dy 0.000 0.500 0.500
Th1 Th 0.000 0.000 0.500
Th2 Th 0.278 0.278 0.000
```

---

Density functional theory data (GGA-PBE) for a geometry-optimized Ce2Dy3Th2 structure.

The structure in CIF format:
```
data_Ce2Dy3Th2
_space_group_name_H-M_alt 'C m m m'
_space_group_IT_number 65
_space_group_name_Hall '-C 2 2'
_cell_length_a 5.157
_cell_length_b 23.944
_cell_length_c 3.467
_cell_angle_alpha 90.00
_cell_angle_beta 90.00
_cell_angle_gamma 90.00
loop_
_atom_site_label
_atom_site_type_symbol
_atom_site_fract_x
_atom_site_fract_y
_atom_site_fract_z
Ce1 Ce 0.000 0.220 0.000
Dy1 Dy 0.000 0.073 0.000
Dy2 Dy 0.000 0.500 0.500
Th1 Th 0.000 0.353 0.500
```

---

Density functional theory data (GGA-PBE) for a geometry-optimized CeDyTh4 structure.

The structure in CIF format:
```
data_CeDyTh4
_space_group_name_H-M_alt 'P 4/m m m'
_space_group_IT_number 123
_space_group_name_Hall '-P 4 2'
_cell_length_a 3.553
_cell_length_b 3.553
_cell_length_c 14.908
_cell_angle_alpha 90.00
_cell_angle_beta 90.00
_cell_angle_gamma 90.00
loop_
_atom_site_label
_atom_site_type_symbol
_atom_site_fract_x
_atom_site_fract_y
_atom_site_fract_z
Ce1 Ce 0.000 0.000 0.000
Dy1 Dy 0.500 0.500 0.500
Th1 Th 0.000 0.000 0.327
Th2 Th 0.500 0.500 0.162
```

---

Density functional theory data (GGA-PBE) for a geometry-optimized Ce2Dy2Th15 structure.

The structure in CIF format:
```
data_Ce2Dy2Th15
_space_group_name_H-M_alt 'R -3 m'
_space_group_IT_number 166
_space_group_name_Hall '-R 3 2"'
_cell_length_a 11.3611
_cell_length_b 11.3611
_cell_length_c 17.3184
_cell_angle_alpha 90.00
_cell_angle_beta 90.00
_cell_angle_gamma 120.00
loop_
_atom_site_label
_atom_site_type_symbol
_atom_site_fract_x
_atom_site_fract_y
_atom_site_fract_z
Ce1 Ce 0.0000 0.0000 0.0825
Dy1 Dy 0.0000 0.0000 0.3102
Th1 Th 0.0000 0.3061 0.0000
Th2 Th 0.0000 0.5000 0.5000
Th3 Th 0.0033 0.5016 0.1522
```

---

Density functional theory data (GGA-PBE) for a geometry-optimized CeDy4Th structure.

The structure in CIF format:
```
data_CeDy4Th
_space_group_name_H-M_alt 'C 1 2/m 1'
_space_group_IT_number 12
_cell_length_a 6.152
_cell_length_b 10.609
_cell_length_c 6.151
_cell_angle_alpha 90.00
_cell_angle_beta 109.70
_cell_angle_gamma 90.00
loop_
_space_group_symop_operation_xyz
'x,y,z'
'-x,-y,-z'
'-x,y,-z'
'x,-y,z'
'x+1/2,y+1/2,z'
'-x+1/2,-y+1/2,-z'
'-x+1/2,y+1/2,-z'
'x+1/2,-y+1/2,z'
loop_
_atom_site_label
_atom_site_type_symbol
_atom_site_fract_x
_atom_site_fract_y
_atom_site_fract_z
Ce1 Ce 0.000 0.000 0.000
Dy1 Dy 0.000 0.166 0.500
Dy2 Dy 0.000 0.336 0.000
Th1 Th 0.000 0.500 0.500
```

---

Density of states at the Fermi level for every record listed, in sequence, given in states/eV/atom: 2.834 2.152 1.843 1.629 2.166 2.067.
Spin magnetization for every record listed, in sequence, given in μB per formula unit: 4.19 0.01 0.00 0.00 0.07 1.28.
Calculated total energy for every record listed, in sequence, given in eV/f.u.: -95.45 -46.71 -40.11 -40.05 -126.69 -31.33.